Entry 1:
The following is a SCAN calculation of a PBEsol-optimized structure of PrCu2Ge2, from Alexandria via LeMat-Bulk.

E_tot, eV per atom: -23.015
N(E_F), states/eV/atom: 0.25
E_form, eV per formula unit: -3.17

```
5
Lattice="-3.048 2.547 1.112 -2.260 -3.232 1.208 4.629 0.688 3.462" Properties=species:S:1:pos:R:3 pbc="T T T"
Pr 0.000 0.000 0.000
Cu -0.537 1.446 2.867
Cu -0.143 -1.443 2.915
Ge 1.484 0.260 3.472
Ge -2.163 -0.257 2.309
```

=====

Entry 2:
The following is a SCAN calculation of a PBEsol-optimized structure of Al2SnHg, from Alexandria via LeMat-Bulk.

E_tot, eV per atom: -29.659
Polymorph energy (0 for the lowest one), kJ/mol of formula units: 7
N(E_F), states/eV/atom: 0.41
E_form, eV per formula unit: 0.95

```
4
Lattice="4.920 0.000 0.000 2.460 4.261 0.000 2.460 1.420 4.017" Properties=species:S:1:pos:R:3 pbc="T T T"
Al 2.460 1.420 1.004
Al 7.380 4.261 3.013
Hg 4.920 2.840 2.009
Sn 0.000 0.000 0.000
```